Record 1
A relaxed MnTeRuRh crystal. Source: Alexandria via LeMat-Bulk, functional PBE.

Cell lengths 4.486, 4.486, 4.486 Å; angles 60.00, 60.00, 60.00 degrees
Sites, in units of the cell vectors:
Te 0.500 0.500 0.500
Rh 0.750 0.750 0.750
Mn 0.000 0.000 0.000
Ru 0.250 0.250 0.250

* SG: F-43m
* ΔE_f (raw): 40 meV/atom

***

Record 2
A relaxed ThMnRuRh crystal. Source: Alexandria via LeMat-Bulk, functional PBE.

Cell lengths 4.698, 4.698, 4.698 Å; angles 60.00, 60.00, 60.00 degrees
Sites, in units of the cell vectors:
Ru 0.750 0.750 0.750
Th 0.500 0.500 0.500
Rh 0.250 0.250 0.250
Mn 0.000 0.000 0.000

* calculated formation energy: -0.297 eV per atom
* SG: F-43m

***

Record 3
A relaxed TiMnRuRh crystal. Source: Alexandria via LeMat-Bulk, functional PBE.

Cell lengths 4.328, 4.328, 4.328 Å; angles 60.00, 60.00, 60.00 degrees
Sites, in units of the cell vectors:
Rh 0.000 0.000 0.000
Mn 0.750 0.750 0.750
Ti 0.250 0.250 0.250
Ru 0.500 0.500 0.500

* calculated formation energy: -0.434 eV per atom
* SG: F-43m

***

Record 4
A relaxed UMnRuRh crystal. Source: Alexandria via LeMat-Bulk, functional PBE.

Cell lengths 4.551, 4.551, 4.551 Å; angles 60.00, 60.00, 60.00 degrees
Sites, in units of the cell vectors:
Ru 0.750 0.750 0.750
Mn 0.000 0.000 0.000
Rh 0.250 0.250 0.250
U 0.500 0.500 0.500

* calculated formation energy: -0.185 eV per atom
* SG: F-43m

***

Record 5
A relaxed YMnRu2Rh crystal. Source: Alexandria via LeMat-Bulk, functional PBE.

Cell lengths 4.784, 4.789, 4.784 Å; angles 90.00, 90.00, 90.00 degrees
Sites, in units of the cell vectors:
Mn 0.500 0.500 0.500
Ru 0.500 0.000 0.000
Ru 0.000 0.000 0.500
Rh 0.000 0.500 0.000
Y 0.000 0.000 0.000

* calculated formation energy: 2.306 eV per atom
* SG: P4/mmm

***

Record 6
A relaxed Mn3RhS crystal. Source: Alexandria via LeMat-Bulk, functional PBE.

Cell lengths 4.050, 4.050, 4.050 Å; angles 90.00, 90.00, 90.00 degrees
Sites, in units of the cell vectors:
Mn 0.000 0.000 0.500
Mn 0.000 0.500 0.000
Mn 0.500 0.000 0.000
Rh 0.500 0.500 0.500
S 0.000 0.000 0.000

* SG: Pm-3m
* ΔE_f (raw): 484 meV/atom

***

Record 7
A relaxed MnRh2S2 crystal. Source: Alexandria via LeMat-Bulk, functional PBE.

Cell lengths 3.729, 3.729, 6.148 Å; angles 72.34, 72.34, 90.00 degrees
Sites, in units of the cell vectors:
S 0.250 0.750 0.500
S 0.750 0.250 0.500
Rh 0.385 0.385 0.230
Rh 0.615 0.615 0.770
Mn 0.000 0.000 0.000

* SG: I4/mmm
* ΔE_f (raw): 641 meV/atom

***

Record 8
A relaxed MnRh3S6 crystal. Source: Alexandria via LeMat-Bulk, functional PBE.

Cell lengths 6.049, 6.129, 8.828 Å; angles 90.00, 89.09, 90.00 degrees
Sites, in units of the cell vectors:
S 0.142 0.065 0.745
S 0.358 0.565 0.755
S 0.805 0.680 0.602
S 0.695 0.180 0.898
S 0.160 0.321 0.041
S 0.840 0.679 0.959
S 0.305 0.820 0.102
S 0.642 0.435 0.245
S 0.340 0.821 0.459
S 0.858 0.935 0.255
S 0.195 0.320 0.398
S 0.660 0.179 0.541
Rh 0.000 0.000 0.500
Rh 0.008 0.418 0.809
Rh 0.992 0.582 0.191
Rh 0.492 0.918 0.691
Rh 0.508 0.082 0.309
Rh 0.500 0.500 0.000
Mn 0.500 0.500 0.500
Mn 0.000 0.000 0.000

* SG: P2_1/c
* ΔE_f (raw): -375 meV/atom

***

Record 9
A relaxed MnRhS3 crystal. Source: Alexandria via LeMat-Bulk, functional PBE.

Cell lengths 6.030, 7.922, 7.922 Å; angles 87.87, 80.02, 80.02 degrees
Sites, in units of the cell vectors:
S 0.427 0.871 0.368
S 0.864 0.077 0.177
S 0.573 0.129 0.632
S 0.136 0.923 0.823
S 0.927 0.368 0.871
S 0.596 0.441 0.262
S 0.096 0.262 0.441
S 0.073 0.632 0.129
S 0.404 0.559 0.738
S 0.636 0.823 0.923
S 0.904 0.738 0.559
S 0.364 0.177 0.077
Mn 0.250 0.344 0.656
Mn 0.250 0.891 0.109
Mn 0.750 0.656 0.344
Mn 0.750 0.109 0.891
Rh 0.996 0.341 0.162
Rh 0.504 0.838 0.659
Rh 0.004 0.659 0.838
Rh 0.496 0.162 0.341

* SG: C2/c
* ΔE_f (raw): -362 meV/atom

***

Record 10
A relaxed MnRh2S2 crystal. Source: Alexandria via LeMat-Bulk, functional PBE.

Cell lengths 3.849, 3.849, 5.928 Å; angles 71.06, 71.06, 90.00 degrees
Sites, in units of the cell vectors:
S 0.620 0.620 0.761
S 0.380 0.380 0.239
Rh 0.250 0.750 0.500
Rh 0.750 0.250 0.500
Mn 0.000 0.000 0.000

* SG: I4/mmm
* ΔE_f (raw): 545 meV/atom

***

Record 11
A relaxed MnRh2S2 crystal. Source: Alexandria via LeMat-Bulk, functional PBE.

Cell lengths 6.255, 6.255, 3.493 Å; angles 90.00, 90.00, 90.00 degrees
Sites, in units of the cell vectors:
Mn 0.000 0.000 0.000
Mn 0.500 0.500 0.000
S 0.832 0.668 0.000
S 0.332 0.832 0.000
S 0.168 0.332 0.000
S 0.668 0.168 0.000
Rh 0.160 0.660 0.500
Rh 0.660 0.840 0.500
Rh 0.340 0.160 0.500
Rh 0.840 0.340 0.500

* SG: P4/mbm
* ΔE_f (raw): 130 meV/atom

***

Record 12
A relaxed MnRh2S2 crystal. Source: Alexandria via LeMat-Bulk, functional PBE.

Cell lengths 6.758, 6.758, 3.128 Å; angles 90.00, 90.00, 90.00 degrees
Sites, in units of the cell vectors:
Rh 0.143 0.357 0.000
Rh 0.857 0.643 0.000
Rh 0.357 0.857 0.000
Rh 0.643 0.143 0.000
S 0.171 0.671 0.500
S 0.671 0.829 0.500
S 0.829 0.329 0.500
S 0.329 0.171 0.500
Mn 0.500 0.500 0.000
Mn 0.000 0.000 0.000

* SG: P4/mbm
* ΔE_f (raw): 429 meV/atom

***

Record 13
A relaxed Mn2RhS4 crystal. Source: Alexandria via LeMat-Bulk, functional PBE.

Cell lengths 4.792, 4.792, 6.762 Å; angles 69.25, 69.25, 90.00 degrees
Sites, in units of the cell vectors:
Mn 0.618 0.618 0.764
Mn 0.382 0.382 0.236
S 0.000 0.500 0.000
S 0.198 0.198 0.604
S 0.500 0.000 0.000
S 0.802 0.802 0.396
Rh 0.000 0.000 0.000

* SG: I4/mmm
* ΔE_f (raw): 58 meV/atom

***

Record 14
A relaxed MnRh5S8 crystal. Source: Alexandria via LeMat-Bulk, functional PBE.

Cell lengths 7.010, 7.010, 7.010 Å; angles 60.00, 60.00, 60.00 degrees
Sites, in units of the cell vectors:
S 0.384 0.384 0.384
S 0.848 0.384 0.384
S 0.865 0.865 0.404
S 0.865 0.865 0.865
S 0.384 0.384 0.848
S 0.865 0.404 0.865
S 0.404 0.865 0.865
S 0.384 0.848 0.384
Rh 0.626 0.626 0.123
Rh 0.123 0.626 0.626
Rh 0.626 0.626 0.626
Rh 0.626 0.123 0.626
Rh 0.000 0.000 0.000
Mn 0.250 0.250 0.250

* SG: F-43m
* ΔE_f (raw): -453 meV/atom

***

no.,final energy (eV per atom)
1,-7.1948
2,-8.6010
3,-8.8574
4,-9.4563
5,-6.0013
6,-7.3133
7,-5.7840
8,-5.9741
9,-6.1425
10,-5.8804
11,-6.2955
12,-5.9961
13,-5.9706
14,-6.0924